SrTcGeO6: relaxed, PBE-GGA.

Lattice parameters (Å, degrees): 5.168 5.168 10.760 90.00 90.00 120.00
Sites, in units of the cell vectors:
Sr 0.000 0.000 0.000
Sr 0.000 0.000 0.500
Tc 0.333 0.667 0.250
Tc 0.667 0.333 0.750
Ge 0.333 0.667 0.750
Ge 0.667 0.333 0.250
O 0.002 0.393 0.649
O 0.002 0.609 0.851
O 0.391 0.393 0.851
O 0.391 0.998 0.649
O 0.393 0.002 0.149
O 0.393 0.391 0.351
O 0.607 0.609 0.649
O 0.607 0.998 0.851
O 0.609 0.002 0.351
O 0.609 0.607 0.149
O 0.998 0.391 0.149
O 0.998 0.607 0.351

Values from the calculation:
**Calculated total energy**: -7.00 eV/atom
**SG**: No. 163